1.
Crystalline Ho4PdC2 at its relaxed geometry. Source: Alexandria via LeMat-Bulk, functional PBE.

The structure in extended XYZ format:
```
14
Lattice="3.640 0.000 0.000 -1.820 6.066 0.000 0.000 0.000 12.663" Properties=species:S:1:pos:R:3 pbc="T T T"
Ho 1.820 5.226 9.497
Ho 0.000 2.828 7.684
Ho 1.820 3.238 1.352
Ho 0.000 0.841 3.166
Ho 1.820 0.000 0.000
Ho 1.820 3.238 4.979
Ho 0.000 2.828 11.310
Ho 1.820 0.000 6.331
C 1.820 4.422 11.894
C 1.820 4.422 7.100
C 0.000 1.644 0.769
C 0.000 1.644 5.563
Pd 1.820 1.350 9.497
Pd 0.000 4.716 3.166
```

Results
Energy of formation from the pure elements (eV/atom): -0.415

***

2.
Crystalline Tb2TlZn3 at its relaxed geometry. Source: Alexandria via LeMat-Bulk, functional PBE.

The structure in extended XYZ format:
```
12
Lattice="5.816 -0.596 0.000 -0.821 5.789 0.000 -2.498 -2.597 7.977" Properties=species:S:1:pos:R:3 pbc="T T T"
Zn 2.498 2.597 5.409
Zn 0.784 4.246 1.275
Zn 0.000 0.000 2.568
Zn -1.714 1.649 6.701
Zn 4.212 0.948 1.275
Zn 1.714 -1.649 6.701
Tb 2.908 -0.298 3.988
Tb 3.778 3.928 0.000
Tb -0.410 2.894 3.988
Tb 1.218 1.266 0.000
Tl 0.000 0.000 5.336
Tl 2.498 2.597 2.641
```

Results
E above lowest polymorph (eV/atom): 0.000
Energy of formation from the pure elements (eV/atom): -0.340

***

3.
Crystalline CuW2Cl6 at its relaxed geometry. Source: Alexandria via LeMat-Bulk, functional PBE.

The structure in extended XYZ format:
```
18
Lattice="-1.452 4.297 1.573 -6.979 2.075 -6.191 -6.195 -2.436 6.859" Properties=species:S:1:pos:R:3 pbc="T T T"
Cl -5.707 2.028 -4.748
Cl -6.063 2.163 2.172
Cl -9.176 3.269 2.741
Cl -8.906 0.249 3.662
Cl -5.813 0.611 6.353
Cl -9.957 4.269 -0.967
Cl -8.813 3.325 -4.113
Cl -4.669 -0.333 3.207
Cl -8.563 1.773 0.068
Cl -5.721 3.687 -1.422
Cl -5.450 0.667 -0.501
Cl -8.919 1.909 6.988
W -10.596 2.745 0.845
W -4.030 1.192 1.395
W -4.835 3.796 0.862
W -9.791 0.140 1.378
Cu -7.881 4.221 -1.897
Cu -6.745 -0.285 4.137
```

Results
Raw formation energy (kJ/mol of formula units): -230

***

4.
Crystalline LiNdSn2 at its relaxed geometry. Source: Alexandria via LeMat-Bulk, functional PBE.

The structure in extended XYZ format:
```
4
Lattice="4.614 0.000 0.000 2.307 3.996 0.000 2.307 1.332 5.466" Properties=species:S:1:pos:R:3 pbc="T T T"
Sn 6.921 3.996 3.617
Sn 2.307 1.332 1.848
Li 4.614 2.664 2.733
Nd 0.000 0.000 0.000
```

Results
E above lowest polymorph (eV/atom): 0.071
Energy of formation from the pure elements (eV/atom): -0.513

***

5.
Crystalline RbSiPSe2 at its relaxed geometry. Source: Alexandria via LeMat-Bulk, functional PBE.

The structure in extended XYZ format:
```
5
Lattice="-1.235 -2.926 4.088 1.854 -3.666 -2.064 4.573 1.094 2.165" Properties=species:S:1:pos:R:3 pbc="T T T"
Si 0.000 0.000 0.000
P 0.927 -1.833 -1.032
Se 2.287 0.547 1.082
Se -0.618 -1.463 2.044
Rb 2.596 -2.749 2.094
```

Results
Raw formation energy (kJ/mol of formula units): -9

***

6.
Crystalline BaTm4Pt3O12 at its relaxed geometry. Source: Alexandria via LeMat-Bulk, functional PBE.

The structure in extended XYZ format:
```
20
Lattice="-1.049 7.026 -0.348 -5.520 -3.062 3.277 5.958 -1.330 3.649" Properties=species:S:1:pos:R:3 pbc="T T T"
Ba 0.000 0.000 0.000
O 1.629 1.097 2.169
O 0.679 0.454 5.114
O -0.925 -0.752 2.673
O 0.314 3.386 3.905
O 0.154 4.990 1.376
O -3.689 3.628 2.534
O -0.765 -2.356 5.202
O 3.422 3.177 3.375
O 3.078 -0.994 4.044
O -4.033 -0.543 3.203
O -2.240 1.537 4.409
O -1.290 2.181 1.464
Pt 2.455 2.848 1.651
Pt -3.284 1.982 1.465
Pt 0.219 -2.196 3.463
Tm -2.760 -1.531 1.638
Tm 2.979 -0.665 1.824
Tm -0.525 3.513 -0.174
Tm -0.305 1.317 3.289
```

Results
Raw formation energy (kJ/mol of formula units): -4240